This record from the Open Quantum Materials Database describes a geometry-optimized K2Hg2O5 structure. The functional is PBE-GGA.

Cell and atoms, written as extended XYZ:
```
9
Lattice="4.106 0.000 0.000 0.000 4.106 0.000 0.000 0.000 8.981" Properties=species:S:1:pos:R:3 pbc="T T T"
K 0.000 0.000 0.000
K 0.000 0.000 4.491
Hg 2.053 2.053 2.170
Hg 2.053 2.053 6.811
O 0.000 2.053 2.628
O 0.000 2.053 6.353
O 2.053 0.000 2.628
O 2.053 0.000 6.353
O 2.053 2.053 0.000
```

Results
raw total energy: -29.965 eV/cell
space group: P4/mmm
energy above the most stable polymorph in this dataset: 0.000 eV/atom